Record 1
Crystalline Rb2PSF5 at its relaxed geometry, computed with PBE.

```
9
Lattice="-5.887 2.373 0.743 1.613 -5.248 3.270 4.945 3.312 2.327" Properties=species:S:1:pos:R:3 pbc="T T T"
Rb 1.139 2.368 2.910
Rb -0.527 -1.913 3.381
P 6.539 -1.931 5.582
S 5.002 -1.477 4.270
F -0.861 0.487 1.380
F 1.723 -0.106 5.123
F 2.319 -3.707 3.179
F 4.430 1.714 2.582
F 1.249 -0.369 1.066
```

Summary:
- Raw formation energy: -20.85 eV/f.u.
- Electronic total energy: -41.68 eV for the cell shown
- D(E_F): 0.0000 states/eV per atom

Record 2
Crystalline Rb2ScPF6 at its relaxed geometry, computed with PBE.

```
10
Lattice="-2.669 -2.782 4.357 -2.837 -3.311 -3.852 1.450 -6.831 0.411" Properties=species:S:1:pos:R:3 pbc="T T T"
Sc 0.000 0.000 0.000
P -2.753 -3.047 0.253
Rb -1.986 -6.330 2.511
Rb -2.070 -6.595 -1.594
F -0.043 -5.486 0.355
F -4.012 -7.438 0.562
F -1.364 -1.510 0.125
F -4.142 -4.584 0.380
F -2.711 -2.913 2.324
F -2.795 -3.180 -1.818
```

Summary:
- Raw formation energy: -27.12 eV/f.u.
- Electronic total energy: -52.03 eV for the cell shown
- D(E_F): 0.0000 states/eV per atom